Computed, not measured: a relaxed structure of TiVPO2 at the PBE+U level of DFT.

POSCAR file:
```
TiVPO2
1.0
-1.586 3.280 -0.486
-1.583 -0.275 3.305
4.108 2.307 2.160
P Ti O V
1 1 2 1
Direct
0.000 0.000 0.500 P
0.500 0.500 0.500 Ti
0.000 0.500 0.000 O
0.500 0.000 0.000 O
0.000 0.000 0.000 V
```

Results
Electronic total energy in eV per atom: -7.14
Energy above the lowest structure with this stoichiometry in eV per atom: 0.234
Crystal system: tetragonal
Space group: P4/mmm (123)